Record 1
Material: Mg2Cu
Method: DFT, PBE-GGA
State: optimized geometry

Output
Formation energy from the elements, eV per atom: 0.221
E_tot, eV/f.u.: -6.62
Symmetry: No. 164

Cell: 3.011 3.011 22.484 Å, 90.00 90.00 120.00°
Atoms (fractional coordinates):
Mg 0.000 0.000 0.067
Mg 0.000 0.000 0.933
Mg 0.333 0.667 0.592
Mg 0.333 0.667 0.726
Mg 0.667 0.333 0.274
Mg 0.667 0.333 0.408
Cu 0.000 0.000 0.500
Cu 0.333 0.667 0.842
Cu 0.667 0.333 0.158

***

Record 2
Material: Mg3Cu
Method: DFT, PBE-GGA
State: optimized geometry

Output
Formation energy from the elements, eV per atom: 0.057
E_tot, eV/f.u.: -8.65
Symmetry: No. 223

Cell: 5.347 5.347 5.347 Å, 90.00 90.00 90.00°
Atoms (fractional coordinates):
Mg 0.000 0.250 0.500
Mg 0.000 0.750 0.500
Mg 0.250 0.500 0.000
Mg 0.500 0.000 0.250
Mg 0.500 0.000 0.750
Mg 0.750 0.500 0.000
Cu 0.000 0.000 0.000
Cu 0.500 0.500 0.500

***

Record 3
Material: Mg4Cu3
Method: DFT, PBE-GGA
State: optimized geometry

Output
Formation energy from the elements, eV per atom: 0.543
Energy relative to the lowest polymorph listed for this composition, meV per atom: 608
E_tot, eV/f.u.: -14.87
Symmetry: No. 215

Cell: 5.445 5.445 5.445 Å, 90.00 90.00 90.00°
Atoms (fractional coordinates):
Mg 0.200 0.200 0.800
Mg 0.200 0.800 0.200
Mg 0.800 0.200 0.200
Mg 0.800 0.800 0.800
Cu 0.000 0.500 0.500
Cu 0.500 0.000 0.500
Cu 0.500 0.500 0.000

***

Record 4
Material: MgCu
Method: DFT, PBE-GGA
State: optimized geometry

Output
Formation energy from the elements, eV per atom: 0.277
E_tot, eV/f.u.: -5.14
Symmetry: No. 225

Cell: 3.736 3.736 3.736 Å, 60.00 60.00 60.00°
Atoms (fractional coordinates):
Mg 0.000 0.000 0.000
Cu 0.500 0.500 0.500

***

Record 5
Material: Mg3Cu
Method: DFT, PBE-GGA
State: optimized geometry

Output
Formation energy from the elements, eV per atom: 0.034
E_tot, eV/f.u.: -8.74
Symmetry: No. 25

Cell: 3.095 4.729 5.183 Å, 90.00 90.00 90.00°
Atoms (fractional coordinates):
Mg 0.000 0.000 0.000
Mg 0.000 0.500 0.353
Mg 0.500 0.000 0.524
Cu 0.500 0.500 0.847

***

Record 6
Material: MgCu3
Method: DFT, PBE-GGA
State: optimized geometry

Output
Formation energy from the elements, eV per atom: -0.022
E_tot, eV/f.u.: -13.97
Symmetry: No. 12

Cell: 4.627 4.627 4.560 Å, 101.77 101.77 34.57°
Atoms (fractional coordinates):
Mg 0.000 0.000 0.000
Cu 0.242 0.242 0.735
Cu 0.500 0.500 0.500
Cu 0.758 0.758 0.265

***

Record 7
Material: MgCu3
Method: DFT, PBE-GGA
State: optimized geometry

Output
Formation energy from the elements, eV per atom: -0.043
E_tot, eV/f.u.: -14.05
Symmetry: No. 69

Cell: 6.575 5.985 4.626 Å, 75.38 61.73 42.90°
Atoms (fractional coordinates):
Mg 0.135 0.135 0.865
Mg 0.865 0.865 0.135
Cu 0.000 0.000 0.500
Cu 0.250 0.250 0.250
Cu 0.383 0.383 0.617
Cu 0.500 0.500 0.000
Cu 0.617 0.617 0.383
Cu 0.750 0.750 0.750

***

Record 8
Material: Mg3Cu
Method: DFT, PBE-GGA
State: optimized geometry

Output
Formation energy from the elements, eV per atom: -0.067
E_tot, eV/f.u.: -9.15
Symmetry: No. 185

Cell: 7.939 7.939 8.470 Å, 90.00 90.00 120.00°
Atoms (fractional coordinates):
Mg 0.000 0.000 0.099
Mg 0.000 0.000 0.599
Mg 0.000 0.276 0.342
Mg 0.000 0.379 0.000
Mg 0.000 0.621 0.500
Mg 0.000 0.724 0.842
Mg 0.276 0.000 0.342
Mg 0.276 0.276 0.842
Mg 0.333 0.667 0.223
Mg 0.333 0.667 0.723
Mg 0.379 0.000 0.000
Mg 0.379 0.379 0.500
Mg 0.621 0.000 0.500
Mg 0.621 0.621 0.000
Mg 0.667 0.333 0.223
Mg 0.667 0.333 0.723
Mg 0.724 0.000 0.842
Mg 0.724 0.724 0.342
Cu 0.000 0.327 0.672
Cu 0.000 0.673 0.172
Cu 0.327 0.000 0.672
Cu 0.327 0.327 0.172
Cu 0.673 0.000 0.172
Cu 0.673 0.673 0.672

***

Record 9
Material: Mg4Cu3
Method: DFT, PBE-GGA
State: optimized geometry

Output
Formation energy from the elements, eV per atom: 0.220
Energy relative to the lowest polymorph listed for this composition, meV per atom: 285
E_tot, eV/f.u.: -17.13
Symmetry: No. 221

Cell: 5.198 5.198 5.198 Å, 90.00 90.00 90.00°
Atoms (fractional coordinates):
Mg 0.000 0.000 0.000
Mg 0.000 0.500 0.500
Mg 0.500 0.000 0.500
Mg 0.500 0.500 0.000
Cu 0.000 0.000 0.500
Cu 0.000 0.500 0.000
Cu 0.500 0.000 0.000

***

Record 10
Material: MgCu3
Method: DFT, PBE-GGA
State: optimized geometry

Output
Formation energy from the elements, eV per atom: 0.029
E_tot, eV/f.u.: -13.77
Symmetry: No. 166

Cell: 4.916 4.916 4.916 Å, 116.80 116.80 116.80°
Atoms (fractional coordinates):
Mg 0.000 0.000 0.000
Cu 0.000 0.500 0.500
Cu 0.500 0.000 0.500
Cu 0.500 0.500 0.000

***

Record 11
Material: Mg2Cu3
Method: DFT, PBE-GGA
State: optimized geometry

Output
Formation energy from the elements, eV per atom: 0.078
Energy relative to the lowest polymorph listed for this composition, meV per atom: 150
E_tot, eV/f.u.: -15.09
Symmetry: No. 166

Cell: 10.880 10.880 10.880 Å, 15.04 15.04 15.04°
Atoms (fractional coordinates):
Mg 0.098 0.098 0.098
Mg 0.902 0.902 0.902
Cu 0.303 0.303 0.303
Cu 0.500 0.500 0.500
Cu 0.697 0.697 0.697

***

Record 12
Material: Mg17Cu12
Method: DFT, PBE-GGA
State: optimized geometry

Output
Formation energy from the elements, eV per atom: -0.053
E_tot, eV/f.u.: -77.81
Symmetry: No. 217

Cell: 8.596 8.596 8.596 Å, 109.47 109.47 109.47°
Atoms (fractional coordinates):
Mg 0.000 0.000 0.000
Mg 0.000 0.000 0.333
Mg 0.000 0.312 0.598
Mg 0.000 0.333 0.000
Mg 0.000 0.598 0.312
Mg 0.286 0.688 0.688
Mg 0.312 0.000 0.598
Mg 0.312 0.598 0.000
Mg 0.333 0.000 0.000
Mg 0.402 0.402 0.714
Mg 0.402 0.714 0.402
Mg 0.598 0.000 0.312
Mg 0.598 0.312 0.000
Mg 0.667 0.667 0.667
Mg 0.688 0.286 0.688
Mg 0.688 0.688 0.286
Mg 0.714 0.402 0.402
Cu 0.000 0.636 0.816
Cu 0.000 0.816 0.636
Cu 0.180 0.364 0.364
Cu 0.184 0.184 0.820
Cu 0.184 0.820 0.184
Cu 0.364 0.180 0.364
Cu 0.364 0.364 0.180
Cu 0.636 0.000 0.816
Cu 0.636 0.816 0.000
Cu 0.816 0.000 0.636
Cu 0.816 0.636 0.000
Cu 0.820 0.184 0.184

***

Question: What is the formula in the third record?
Answer: Mg4Cu3

***

Please write out number 8 again, unchanged.
Material: Mg3Cu
Method: DFT, PBE-GGA
State: optimized geometry

Output
Formation energy from the elements, eV per atom: -0.067
E_tot, eV/f.u.: -9.15
Symmetry: No. 185

Cell: 7.939 7.939 8.470 Å, 90.00 90.00 120.00°
Atoms (fractional coordinates):
Mg 0.000 0.000 0.099
Mg 0.000 0.000 0.599
Mg 0.000 0.276 0.342
Mg 0.000 0.379 0.000
Mg 0.000 0.621 0.500
Mg 0.000 0.724 0.842
Mg 0.276 0.000 0.342
Mg 0.276 0.276 0.842
Mg 0.333 0.667 0.223
Mg 0.333 0.667 0.723
Mg 0.379 0.000 0.000
Mg 0.379 0.379 0.500
Mg 0.621 0.000 0.500
Mg 0.621 0.621 0.000
Mg 0.667 0.333 0.223
Mg 0.667 0.333 0.723
Mg 0.724 0.000 0.842
Mg 0.724 0.724 0.342
Cu 0.000 0.327 0.672
Cu 0.000 0.673 0.172
Cu 0.327 0.000 0.672
Cu 0.327 0.327 0.172
Cu 0.673 0.000 0.172
Cu 0.673 0.673 0.672

***

Question: Look up the E_tot of the ninth one.
Answer: -17.13 eV/f.u.

***

Question: formation energy from the elements of number 11 (Mg2Cu3)?
Answer: 0.078 eV per atom